Compound: TbGdHoAl
Source: Alexandria via LeMat-Bulk
Functional: PBE
Structure: optimized geometry

Properties
crystal system = cubic
electronic total energy = -109.25 eV for the cell shown

```
data_TbGdHoAl
_chemical_formula_sum 'Tb4 Gd4 Ho4 Al4'
_space_group_name_H-M_alt 'F -4 3 m'
_space_group_IT_number 216
_space_group_name_Hall 'F -4 2 3'
_cell_length_a 7.572
_cell_length_b 7.572
_cell_length_c 7.572
_cell_angle_alpha 90.00
_cell_angle_beta 90.00
_cell_angle_gamma 90.00
loop_
_atom_site_label
_atom_site_fract_x
_atom_site_fract_y
_atom_site_fract_z
Tb1 0.000 0.000 0.000
Gd1 0.000 0.000 0.500
Ho1 0.250 0.250 0.250
Al1 0.250 0.250 0.750
```